Entry 1:
{
  "formula": "TbCe2In2Hg2",
  "functional": "PBE",
  "state": "relaxed",
  "space_group": "R-3m (166)",
  "formation_enthalpy_0k_mev_per_atom": -230,
  "total_magnetization_mub_per_cell": 2.25,
  "dft_energy_ev_per_cell": -24.19,
  "lattice_angstrom": [[2.4090, 1.3908, 9.1250], [-2.4090, 1.3908, 9.1250], [0.0000, -2.7817, 9.1250]],
  "species": ["Tb", "Ce", "Ce", "In", "In", "Hg", "Hg"],
  "frac_coords": [[0.0000, 0.0000, 0.0000], [0.1429, 0.1429, 0.1429], [0.8571, 0.8571, 0.8571], [0.2724, 0.2724, 0.2724], [0.7276, 0.7276, 0.7276], [0.4215, 0.4215, 0.4215], [0.5785, 0.5785, 0.5785]]
}



Entry 2:
{
  "formula": "YPtS2Cl",
  "functional": "PBE",
  "state": "relaxed",
  "space_group": "P4/mmm (123)",
  "total_magnetization_mub_per_cell": 0.00,
  "dft_energy_ev_per_cell": -25.52,
  "de_polymorph_ev_per_atom": 0.000,
  "formation_energy_uncorrected_mev_per_atom": -582,
  "lattice_angstrom": [[4.7957, 0.0000, 0.0000], [0.0000, 4.7957, 0.0000], [0.0000, 0.0000, 4.6945]],
  "species": ["Y", "Pt", "S", "S", "Cl"],
  "frac_coords": [[0.0000, 0.0000, 0.0000], [0.5000, 0.5000, 0.5000], [0.0000, 0.5000, 0.5000], [0.5000, 0.0000, 0.5000], [0.5000, 0.5000, 0.0000]]
}



Entry 3:
{
  "formula": "NaMg2AlS4",
  "functional": "PBE",
  "state": "relaxed",
  "space_group": "I-42m (121)",
  "total_magnetization_mub_per_cell": 0.00,
  "dft_energy_ev_per_cell": -35.20,
  "formation_energy_uncorrected_mev_per_atom": -1304,
  "lattice_angstrom": [[-3.0016, 3.0016, 5.1403], [3.0016, -3.0016, 5.1403], [3.0016, 3.0016, -5.1403]],
  "species": ["Na", "Mg", "Mg", "Al", "S", "S", "S", "S"],
  "frac_coords": [[0.0000, 0.0000, 0.0000], [0.2500, 0.7500, 0.5000], [0.7500, 0.2500, 0.5000], [0.5000, 0.5000, 0.0000], [0.1546, 0.1546, 0.5642], [0.4096, 0.8454, 0.0000], [0.5904, 0.5904, 0.4358], [0.8454, 0.4096, 0.0000]]
}



Entry 4:
{
  "formula": "DyHoSnHg",
  "functional": "PBE",
  "state": "relaxed",
  "space_group": "F-43m (216)",
  "formation_enthalpy_0k_mev_per_atom": -554,
  "total_magnetization_mub_per_cell": 0.00,
  "dft_energy_ev_per_cell": -15.70,
  "de_polymorph_ev_per_atom": 0.000,
  "lattice_angstrom": [[0.0000, 3.7281, 3.7281], [3.7281, 0.0000, 3.7281], [3.7281, 3.7281, 0.0000]],
  "species": ["Dy", "Ho", "Sn", "Hg"],
  "frac_coords": [[0.0000, 0.0000, 0.0000], [0.5000, 0.5000, 0.5000], [0.7500, 0.7500, 0.7500], [0.2500, 0.2500, 0.2500]]
}



Repeat the third record exactly.
{
  "formula": "NaMg2AlS4",
  "functional": "PBE",
  "state": "relaxed",
  "space_group": "I-42m (121)",
  "total_magnetization_mub_per_cell": 0.00,
  "dft_energy_ev_per_cell": -35.20,
  "formation_energy_uncorrected_mev_per_atom": -1304,
  "lattice_angstrom": [[-3.0016, 3.0016, 5.1403], [3.0016, -3.0016, 5.1403], [3.0016, 3.0016, -5.1403]],
  "species": ["Na", "Mg", "Mg", "Al", "S", "S", "S", "S"],
  "frac_coords": [[0.0000, 0.0000, 0.0000], [0.2500, 0.7500, 0.5000], [0.7500, 0.2500, 0.5000], [0.5000, 0.5000, 0.0000], [0.1546, 0.1546, 0.5642], [0.4096, 0.8454, 0.0000], [0.5904, 0.5904, 0.4358], [0.8454, 0.4096, 0.0000]]
}